1.
Density functional theory data (PBE-GGA) for a relaxed K4BaHg crystal.

Cell and atoms, written as POSCAR:
```
K4BaHg
1.0
0.000 5.777 5.777
5.777 0.000 5.777
5.777 5.777 0.000
Hg K Ba
1 4 1
Cartesian
0.000 0.000 0.000
4.329 4.329 7.225
4.329 7.225 4.329
7.225 4.329 4.329
7.225 7.225 7.225
2.888 2.888 2.888
```

## Properties
Its density of states at the Fermi level is 7.3 states/eV per cell. For the formation energy, the calculation gives 0.149 eV/atom. The value obtained for the calculated volume is 64.26 Å³/atom. The total magnetization comes out at 0.000 μB/atom.



2.
Density functional theory data (PBE-GGA) for a relaxed K2BaHg crystal.

Cell and atoms, written as POSCAR:
```
K2BaHg
1.0
-3.485 -3.948 5.872
3.042 -0.481 7.261
-1.642 5.327 -5.580
Ba K Hg
1 2 1
Cartesian
0.589 1.316 4.124
-0.222 -2.214 6.566
0.000 0.000 0.000
-2.674 -0.417 3.429
```

## Properties
Its density of states at the Fermi level is 3.9 states/eV per cell. For the formation energy, the calculation gives -0.050 eV/atom. The value obtained for the calculated volume is 49.01 Å³/atom. The total magnetization comes out at 0.000 μB/atom.



3.
Density functional theory data (PBE-GGA) for a relaxed K7BaHg2 crystal.

Cell and atoms, written as POSCAR:
```
K7BaHg2
1.0
-2.682 2.332 -2.931
-7.360 -9.106 -0.508
-4.298 6.269 8.920
K Hg Ba
7 2 1
Cartesian
-3.720 2.435 1.721
-7.170 -0.252 2.740
-10.620 -2.940 3.759
-9.846 0.944 6.141
-4.493 -1.449 -0.661
-5.159 1.946 6.268
-6.499 -4.782 2.143
-6.069 5.277 6.131
-8.271 -5.782 -0.651
0.000 0.000 0.000
```

## Properties
Its density of states at the Fermi level is 8.1 states/eV per cell. For the formation energy, the calculation gives -0.093 eV/atom. The value obtained for the calculated volume is 61.74 Å³/atom. The total magnetization comes out at 0.000 μB/atom.



4.
Density functional theory data (PBE-GGA) for a relaxed KBa3Hg7 crystal.

Cell and atoms, written as POSCAR:
```
KBa3Hg7
1.0
-0.810 4.439 -0.168
-9.329 -3.753 6.475
7.897 1.915 12.486
Hg Ba K
14 6 2
Cartesian
-4.772 -0.516 9.356
0.081 2.359 1.270
4.143 3.507 11.988
2.534 2.954 5.149
-1.814 0.011 9.003
-4.776 -0.354 13.644
-4.848 -0.725 4.207
2.530 3.116 9.437
2.606 3.325 14.587
-2.323 0.241 17.523
-0.822 2.321 4.607
-0.428 2.590 9.790
-6.386 -0.907 6.805
-1.421 0.279 14.186
-0.180 2.895 16.628
1.598 0.755 12.204
-3.403 2.113 11.531
1.161 0.487 7.262
-2.063 -0.294 2.166
-3.840 1.846 6.589
5.603 1.386 9.575
-7.845 1.215 9.218
```

## Properties
Its density of states at the Fermi level is 17.1 states/eV per cell. For the formation energy, the calculation gives -0.375 eV/atom. The value obtained for the calculated volume is 35.91 Å³/atom. The total magnetization comes out at 0.000 μB/atom.



5.
Density functional theory data (PBE-GGA) for a relaxed KBaHg2 crystal.

Cell and atoms, written as POSCAR:
```
KBaHg2
1.0
7.221 -1.639 3.274
-1.908 7.154 -3.274
0.003 -5.320 6.103
Ba K Hg
1 1 2
Cartesian
3.612 -3.480 4.689
0.000 0.000 0.000
1.817 -1.750 2.359
5.407 -5.209 7.019
```

## Properties
Its density of states at the Fermi level is 4.0 states/eV per cell. For the formation energy, the calculation gives 0.149 eV/atom. The value obtained for the calculated volume is 50.89 Å³/atom. The total magnetization comes out at 0.178 μB/atom.



6.
Density functional theory data (PBE-GGA) for a relaxed K2BaHg crystal.

Cell and atoms, written as POSCAR:
```
K2BaHg
1.0
4.366 0.016 0.000
-0.016 4.366 0.000
0.000 0.000 10.966
K Ba Hg
2 1 1
Cartesian
0.000 0.000 6.186
0.000 0.000 10.262
2.175 2.191 2.741
2.175 2.191 8.224
```

## Properties
Its density of states at the Fermi level is 2.6 states/eV per cell. For the formation energy, the calculation gives -0.052 eV/atom. The value obtained for the calculated volume is 52.26 Å³/atom. The total magnetization comes out at 0.000 μB/atom.